Entry from the Alexandria database: a geometry-optimized Ba3Ca5 structure (PBE-GGA).

a b c (Å): 7.1123 4.1129 26.8553
angles (deg): 90.00 94.88 90.00
Space group C2/m (No. 12)
Unique sites:
Ba 0.0000 0.0000 0.0000 (multiplicity 2)
Ba 0.1190 0.5000 0.8597 (multiplicity 4)
Ca 0.0000 0.5000 0.5000 (multiplicity 2)
Ca 0.1298 0.0000 0.3841 (multiplicity 4)
Ca 0.2416 0.0000 0.7319 (multiplicity 4)

ΔH_f (0 K) = 0.050 eV/atom
Fermi-level density of states = 21.26 states/eV/cell
mass density = 2.6 g/cm3

=====

Entry from the Alexandria database: a geometry-optimized Ba3Ca structure (PBE-GGA).

a b c (Å): 6.1710 6.1710 6.1710
angles (deg): 90.00 90.00 90.00
Space group Pm-3m (No. 221)
Unique sites:
Ba 0.0000 0.0000 0.5000 (multiplicity 3)
Ca 0.5000 0.5000 0.5000 (multiplicity 1)

ΔH_f (0 K) = 0.045 eV/atom
Fermi-level density of states = 8.07 states/eV/cell
mass density = 3.2 g/cm3

=====

Entry from the Alexandria database: a geometry-optimized Ba5Ca4 structure (PBE-GGA).

a b c (Å): 11.7115 11.7115 8.0726
angles (deg): 90.00 90.00 120.00
Space group P6_3/mcm (No. 193)
Unique sites:
Ba 0.0000 0.3432 0.2500 (multiplicity 6)
Ba 0.3333 0.6667 0.0000 (multiplicity 4)
Ca 0.0000 0.0000 0.0000 (multiplicity 2)
Ca 0.0000 0.3140 0.7500 (multiplicity 6)

ΔH_f (0 K) = 0.067 eV/atom
Fermi-level density of states = 30.41 states/eV/cell
mass density = 2.9 g/cm3